Entry 1:
CaHgCl2 | GGA-PBE | optimized geometry

It has space group Imm2 (No. 44), with a = 3.675 Å, b = 3.982 Å, c = 19.217 Å, α = 90.00°, β = 90.00° and γ = 90.00°. The inequivalent atoms are Ca at (0.000, 0.000, 0.000), Hg at (0.000, 0.500, 0.741), Cl at (0.000, 0.000, 0.556) and Cl at (0.000, 0.500, 0.403).

The value obtained for the total energy is -12.48 eV/f.u. As for the energy above the most stable polymorph in this dataset: 0.1425 eV/atom. As for the uncorrected formation energy: -1.622 eV per atom. The magnetic moment comes out at 0.00 μB per formula unit.

***

Entry 2:
CaHg3Cl8 | GGA-PBE | optimized geometry

It has space group Cm (No. 8), with a = 19.137 Å, b = 5.672 Å, c = 8.167 Å, α = 90.00°, β = 105.84° and γ = 90.00°. The inequivalent atoms are Ca at (0.000, 0.000, 0.000), Hg at (0.036, 0.000, 0.554), Hg at (0.353, 0.000, 0.048), Hg at (0.371, 0.000, 0.556), Cl at (0.092, 0.000, 0.322), Cl at (0.112, 0.000, 0.859), Cl at (0.276, 0.000, 0.240), Cl at (0.282, 0.000, 0.715), Cl at (0.376, 0.500, 0.090), Cl at (0.417, 0.500, 0.653), Cl at (0.479, 0.000, 0.985) and Cl at (0.483, 0.000, 0.467).

The value obtained for the total energy is -29.73 eV/f.u. As for the uncorrected formation energy: -1.004 eV per atom. The magnetic moment comes out at 0.00 μB per formula unit.

***

> What is the formula in the first record?

CaHgCl2